# 1
{"formula": "Sr3Bi4Pd2", "functional": "PBE", "state": "relaxed", "lattice_angstrom": [[-0.5256, 4.2908, 2.4434], [1.5547, -0.7519, 6.7006], [9.6453, 2.0684, 3.4883]], "species": ["Bi", "Bi", "Bi", "Bi", "Pd", "Pd", "Sr", "Sr", "Sr"], "frac_coords": [[0.2736, 0.3606, 0.0922], [0.9171, 0.7767, 0.3892], [0.7264, 0.6394, 0.9078], [0.0829, 0.2233, 0.6108], [0.5798, 0.1095, 0.7309], [0.4202, 0.8905, 0.2691], [0.6484, 0.3593, 0.3439], [0.3516, 0.6407, 0.6561], [0.0000, 0.0000, 0.0000]], "ef_ev_per_atom": -0.65, "magnetic_moment_mub_per_atom": 0.000, "e_above_lowest_polymorph_mev_per_atom": 0, "density_g_cm3": 7.6, "volume_a3_per_atom": 32.03}

---

# 2
{"formula": "Y2Tl2Hg", "functional": "PBE", "state": "relaxed", "lattice_angstrom": [[-0.7296, -4.3853, 1.7152], [-2.1717, -3.9191, -4.3250], [9.3276, -4.4028, -0.6704]], "species": ["Tl", "Tl", "Tl", "Tl", "Y", "Y", "Y", "Y", "Hg", "Hg"], "frac_coords": [[0.6570, 0.8001, 0.8859], [0.1041, 0.2490, 0.5427], [0.8959, 0.7510, 0.4573], [0.3430, 0.1999, 0.1141], [0.6912, 0.2932, 0.3245], [0.0822, 0.7430, 0.0927], [0.3088, 0.7068, 0.6755], [0.9178, 0.2570, 0.9073], [0.4396, 0.8259, 0.2950], [0.5604, 0.1741, 0.7050]], "ef_ev_per_atom": -0.32, "magnetic_moment_mub_per_atom": 0.000, "e_above_lowest_polymorph_mev_per_atom": 0, "density_g_cm3": 9.5, "volume_a3_per_atom": 27.44}

---

# 3
{"formula": "FeHg4Te", "functional": "PBE", "state": "relaxed", "lattice_angstrom": [[0.0000, 4.2396, 4.2396], [4.2396, 0.0000, 4.2396], [4.2396, 4.2396, 0.0000]], "species": ["Hg", "Hg", "Hg", "Hg", "Te", "Fe"], "frac_coords": [[0.8757, 0.3748, 0.3748], [0.3748, 0.3748, 0.3748], [0.3748, 0.3748, 0.8757], [0.3748, 0.8757, 0.3748], [0.7500, 0.7500, 0.7500], [0.0000, 0.0000, 0.0000]], "raw_formation_energy_ev_per_atom": 0.64, "magnetic_moment_mub_per_atom": 0.569, "density_g_cm3": 10.7, "volume_a3_per_atom": 25.40}

---

# 4
{"formula": "AcLaPrY3", "functional": "PBE", "state": "relaxed", "lattice_angstrom": [[3.7088, 0.0000, 0.0000], [0.0000, 11.0620, -0.4129], [0.0000, -3.3375, 10.5479]], "species": ["Y", "Y", "Y", "Y", "Y", "Y", "Pr", "Pr", "La", "La", "Ac", "Ac"], "frac_coords": [[0.7500, 0.3814, 0.2072], [0.7500, 0.3820, 0.5428], [0.2500, 0.6180, 0.4572], [0.2500, 0.6186, 0.7928], [0.2500, 0.1287, 0.9617], [0.7500, 0.8713, 0.0383], [0.7500, 0.3768, 0.8771], [0.2500, 0.6232, 0.1229], [0.2500, 0.1288, 0.6271], [0.7500, 0.8712, 0.3729], [0.2500, 0.1296, 0.2892], [0.7500, 0.8704, 0.7108]], "ef_ev_per_atom": 0.03, "magnetic_moment_mub_per_atom": 0.000, "density_g_cm3": 6.0, "volume_a3_per_atom": 35.64}

---

# 5
{"formula": "Tb3Pm6Ho2", "functional": "PBE", "state": "relaxed", "lattice_angstrom": [[3.5969, 0.0000, 0.2207], [1.7917, 3.1189, 0.2207], [-0.1771, -0.1025, 32.3130]], "species": ["Tb", "Tb", "Tb", "Pm", "Pm", "Pm", "Pm", "Pm", "Pm", "Ho", "Ho"], "frac_coords": [[0.7273, 0.7273, 0.8182], [0.0000, 0.0000, 0.0000], [0.2727, 0.2727, 0.1818], [0.6363, 0.6363, 0.0910], [0.8178, 0.8178, 0.5466], [0.0910, 0.0910, 0.7271], [0.1822, 0.1822, 0.4534], [0.9090, 0.9090, 0.2729], [0.3637, 0.3637, 0.9090], [0.4544, 0.4544, 0.6369], [0.5456, 0.5456, 0.3631]], "ef_ev_per_atom": 0.01, "magnetic_moment_mub_per_atom": 0.000, "e_above_lowest_polymorph_mev_per_atom": 0, "density_g_cm3": 7.7, "volume_a3_per_atom": 32.97}

---

# 6
{"formula": "La6HC2O3", "functional": "PBE", "state": "relaxed", "lattice_angstrom": [[6.5465, -0.0049, -0.0011], [-3.2759, 5.6679, -0.0011], [-1.0922, -1.8912, 6.0851]], "species": ["La", "La", "La", "La", "La", "La", "H", "O", "O", "O", "C", "C"], "frac_coords": [[0.2650, 0.2650, 0.7414], [0.7350, 0.7350, 0.2586], [0.5678, 0.9155, 0.7460], [0.9155, 0.5678, 0.7460], [0.0845, 0.4322, 0.2540], [0.4322, 0.0845, 0.2540], [0.0000, 0.0000, 0.0000], [0.8233, 0.1767, 0.5000], [0.1767, 0.8233, 0.5000], [0.5000, 0.5000, 0.5000], [0.6647, 0.3353, 0.0000], [0.3353, 0.6647, 0.0000]], "magnetic_moment_mub_per_atom": 0.000, "final_energy_ev_per_atom": -7.066, "density_g_cm3": 6.7, "volume_a3_per_atom": 18.81}

---

# 7
{"formula": "Ni3PdN", "functional": "PBE", "state": "relaxed", "lattice_angstrom": [[4.1651, 0.0000, 1.3917], [-2.0826, 3.6071, 1.3917], [-2.0826, -3.6071, 1.3917]], "species": ["N", "Ni", "Ni", "Ni", "Pd"], "frac_coords": [[0.8700, 0.8700, 0.8700], [0.7386, 0.7386, 0.1615], [0.1615, 0.7386, 0.7386], [0.7386, 0.1615, 0.7386], [0.3663, 0.3663, 0.3663]], "raw_formation_energy_ev_per_atom": 0.37, "magnetic_moment_mub_per_atom": 0.000, "density_g_cm3": 7.8, "volume_a3_per_atom": 12.54}

---

# 8
{"formula": "Ti3SnH2", "functional": "PBE", "state": "relaxed", "lattice_angstrom": [[-1.6602, 0.1758, 2.8183], [4.0494, -4.6493, 2.6755], [4.7800, 5.9083, 0.5436]], "species": ["Sn", "Sn", "Ti", "Ti", "Ti", "Ti", "Ti", "Ti", "H", "H", "H", "H"], "frac_coords": [[0.3514, 0.0125, 0.7028], [0.6486, 0.9875, 0.2972], [0.8908, 0.3570, 0.7817], [0.7810, 0.6644, 0.5620], [0.2190, 0.3356, 0.4380], [0.5417, 0.3188, 0.0833], [0.1092, 0.6430, 0.2183], [0.4583, 0.6812, 0.9167], [0.0101, 0.7899, 0.0203], [0.3361, 0.5160, 0.6722], [0.6639, 0.4840, 0.3278], [0.9899, 0.2101, 0.9797]], "magnetic_moment_mub_per_atom": 0.000, "final_energy_ev_per_atom": -5.986, "density_g_cm3": 5.4, "volume_a3_per_atom": 13.53}

---

# 9
{"formula": "BaLaSc", "functional": "PBE", "state": "relaxed", "lattice_angstrom": [[-1.1453, 0.5182, -3.5344], [3.0738, -2.0344, 0.6964], [-5.1825, -7.6390, 0.5592]], "species": ["Ba", "La", "Sc"], "frac_coords": [[0.0000, 0.0000, 0.9829], [0.6667, 0.3333, 0.3676], [0.3333, 0.6667, 0.6495]], "ef_ev_per_atom": 0.25, "magnetic_moment_mub_per_atom": 0.001, "e_above_lowest_polymorph_mev_per_atom": 72, "density_g_cm3": 4.7, "volume_a3_per_atom": 37.57}

---

# 10
{"formula": "Ac2ThCd", "functional": "PBE", "state": "relaxed", "lattice_angstrom": [[3.6677, 0.0000, 0.0000], [1.8338, 3.1763, 0.0000], [1.8338, 1.0588, 12.7343]], "species": ["Ac", "Ac", "Cd", "Th"], "frac_coords": [[0.0937, 0.0937, 0.7190], [0.9063, 0.9063, 0.2810], [0.5000, 0.5000, 0.5000], [0.0000, 0.0000, 0.0000]], "ef_ev_per_atom": 0.26, "magnetic_moment_mub_per_atom": 0.000, "e_above_lowest_polymorph_mev_per_atom": 332, "density_g_cm3": 8.9, "volume_a3_per_atom": 37.09}

---

# 11
{"formula": "Y4Ti6O19", "functional": "PBE", "state": "relaxed", "lattice_angstrom": [[-6.7411, -3.8025, -0.9826], [4.7365, -1.5073, -6.0133], [3.3761, -2.3614, 6.6251]], "species": ["O", "O", "O", "O", "O", "O", "O", "O", "O", "O", "O", "O", "O", "O", "O", "O", "O", "O", "O", "Ti", "Ti", "Ti", "Ti", "Ti", "Ti", "Y", "Y", "Y", "Y"], "frac_coords": [[0.7134, 0.7517, 0.3891], [0.2866, 0.6757, 0.0383], [0.6109, 0.3626, 0.3243], [0.6757, 0.0383, 0.2866], [0.6484, 0.0000, 0.6484], [0.0383, 0.2866, 0.6757], [0.9617, 0.6374, 0.2483], [0.3516, 0.3516, 0.0000], [0.0000, 0.0000, 0.0000], [0.3626, 0.3243, 0.6109], [0.3243, 0.6109, 0.3626], [0.3516, 0.0000, 0.3516], [0.0000, 0.3516, 0.3516], [0.6374, 0.2483, 0.9617], [0.0000, 0.6484, 0.6484], [0.6484, 0.6484, 0.0000], [0.7517, 0.3891, 0.7134], [0.2483, 0.9617, 0.6374], [0.3891, 0.7134, 0.7517], [0.5000, 0.1606, 0.6606], [0.3394, 0.5000, 0.8394], [0.8394, 0.3394, 0.5000], [0.6606, 0.5000, 0.1606], [0.5000, 0.8394, 0.3394], [0.1606, 0.6606, 0.5000], [0.7029, 0.0000, 0.0000], [0.0000, 0.0000, 0.7029], [0.0000, 0.7029, 0.0000], [0.2971, 0.2971, 0.2971]], "raw_formation_energy_ev_per_atom": -2.99, "magnetic_moment_mub_per_atom": 0.075, "density_g_cm3": 4.3, "volume_a3_per_atom": 12.61}

---

# 12
{"formula": "TbGa5Ni7", "functional": "PBE", "state": "relaxed", "lattice_angstrom": [[5.0787, 0.0000, 0.0000], [2.5393, 5.9106, -0.1285], [2.5393, -0.1476, 5.9102]], "species": ["Ni", "Ni", "Ni", "Ni", "Ni", "Ni", "Ni", "Ga", "Ga", "Ga", "Ga", "Ga", "Tb"], "frac_coords": [[0.9970, 0.3560, 0.6501], [0.5062, 0.2185, 0.7692], [0.9970, 0.6501, 0.3560], [0.5062, 0.7692, 0.2185], [0.6448, 0.3552, 0.3552], [0.2804, 0.2196, 0.2196], [0.3442, 0.6558, 0.6558], [0.0063, 0.4848, 0.0093], [0.0063, 0.0093, 0.4848], [0.4996, 0.4848, 0.0093], [0.7171, 0.7829, 0.7829], [0.4996, 0.0093, 0.4848], [0.9954, 0.0046, 0.0046]], "ef_ev_per_atom": -0.33, "magnetic_moment_mub_per_atom": 0.000, "density_g_cm3": 8.6, "volume_a3_per_atom": 13.64}

---

# 13
{"formula": "CaPbSN2", "functional": "PBE", "state": "relaxed", "lattice_angstrom": [[4.8432, 0.0000, 0.0000], [0.0000, 4.8432, 0.0000], [0.0000, 0.0000, 5.5795]], "species": ["Ca", "Pb", "S", "N", "N"], "frac_coords": [[0.0000, 0.0000, 0.0000], [0.5000, 0.5000, 0.5000], [0.0000, 0.0000, 0.5000], [0.5000, 0.0000, 0.0000], [0.0000, 0.5000, 0.0000]], "raw_formation_energy_ev_per_atom": 0.96, "magnetic_moment_mub_per_atom": 0.800, "density_g_cm3": 3.9, "volume_a3_per_atom": 26.18}

---

# 14
{"formula": "AgTeO2F", "functional": "PBE", "state": "relaxed", "lattice_angstrom": [[-0.4632, 3.8859, -1.5008], [-3.9936, 0.0152, 1.2721], [1.2666, 1.6789, 3.9561]], "species": ["O", "O", "F", "Ag", "Te"], "frac_coords": [[0.5000, 0.0000, 0.0000], [0.0000, 0.5000, 0.0000], [0.0000, 0.0000, 0.5000], [0.5000, 0.5000, 0.5000], [0.0000, 0.0000, 0.0000]], "raw_formation_energy_ev_per_atom": -0.73, "magnetic_moment_mub_per_atom": 0.000, "density_g_cm3": 6.0, "volume_a3_per_atom": 15.74}

---

# 15
{"formula": "MnIr2W", "functional": "PBE", "state": "relaxed", "lattice_angstrom": [[-2.0946, -3.0766, 2.9209], [-3.1628, -3.4908, 0.4420], [2.8554, -3.6944, -0.6131]], "species": ["W", "Ir", "Ir", "Mn"], "frac_coords": [[0.2500, 0.2500, 0.2500], [0.4992, 0.4992, 0.5050], [0.0008, 0.0008, 0.9950], [0.7500, 0.7500, 0.7500]], "ef_ev_per_atom": -0.09, "magnetic_moment_mub_per_atom": 0.510, "e_above_lowest_polymorph_mev_per_atom": 169, "density_g_cm3": 18.0, "volume_a3_per_atom": 14.36}

---

# 16
{"formula": "CsTi2H", "functional": "PBE", "state": "relaxed", "lattice_angstrom": [[0.0000, 3.3012, 3.3012], [3.3012, 0.0000, 3.3012], [3.3012, 3.3012, 0.0000]], "species": ["H", "Cs", "Ti", "Ti"], "frac_coords": [[0.0000, 0.0000, 0.0000], [0.5000, 0.5000, 0.5000], [0.2500, 0.2500, 0.2500], [0.7500, 0.7500, 0.7500]], "magnetic_moment_mub_per_atom": 0.459, "e_above_lowest_polymorph_mev_per_atom": 982, "density_g_cm3": 5.3, "volume_a3_per_atom": 17.99}

---

# 17
{"formula": "La4Pr2In", "functional": "PBE", "state": "relaxed", "lattice_angstrom": [[-3.1318, 9.4485, 8.0819], [-5.0703, -3.5690, 2.2077], [5.8582, -0.5439, 2.9060]], "species": ["La", "La", "La", "La", "La", "La", "La", "La", "Pr", "Pr", "Pr", "Pr", "In", "In"], "frac_coords": [[0.6721, 0.3146, 0.5934], [0.8279, 0.8146, 0.5934], [0.2518, 0.1932, 0.8952], [0.7482, 0.8068, 0.1048], [0.1721, 0.1854, 0.4066], [0.7518, 0.3068, 0.1048], [0.3279, 0.6854, 0.4066], [0.2482, 0.6932, 0.8952], [0.9465, 0.3532, 0.6812], [0.0535, 0.6468, 0.3188], [0.5535, 0.8532, 0.6812], [0.4465, 0.1468, 0.3188], [0.5000, 0.5000, 0.0000], [0.0000, 0.0000, 0.0000]], "ef_ev_per_atom": -0.01, "magnetic_moment_mub_per_atom": 0.000, "e_above_lowest_polymorph_mev_per_atom": 0, "density_g_cm3": 6.6, "volume_a3_per_atom": 34.39}

---

# 18
{"formula": "SmY4Tm5", "functional": "PBE", "state": "relaxed", "lattice_angstrom": [[6.3148, 0.0000, 0.0000], [3.1574, 7.1534, 0.0000], [3.1574, 0.0000, 7.1534]], "species": ["Y", "Y", "Y", "Y", "Tm", "Tm", "Tm", "Tm", "Tm", "Sm"], "frac_coords": [[0.7964, 0.7037, 0.6083], [0.1083, 0.2963, 0.3917], [0.4047, 0.3917, 0.7037], [0.5000, 0.6083, 0.2963], [0.1797, 0.9123, 0.6275], [0.7195, 0.0877, 0.3725], [0.0920, 0.6275, 0.0877], [0.8072, 0.3725, 0.9123], [0.6790, 0.0000, 0.0000], [0.2234, 0.0000, 0.0000]], "ef_ev_per_atom": 0.30, "magnetic_moment_mub_per_atom": 0.000, "e_above_lowest_polymorph_mev_per_atom": 250, "density_g_cm3": 6.9, "volume_a3_per_atom": 32.31}

---

# 19
{"formula": "LuMg2Cd", "functional": "PBE", "state": "relaxed", "lattice_angstrom": [[5.0674, 0.0000, 0.0000], [2.5337, 4.3885, 0.0000], [2.5337, 1.4628, 4.1375]], "species": ["Lu", "Cd", "Mg", "Mg"], "frac_coords": [[0.0000, 0.0000, 0.0000], [0.5000, 0.5000, 0.5000], [0.7500, 0.7500, 0.7500], [0.2500, 0.2500, 0.2500]], "ef_ev_per_atom": -0.07, "magnetic_moment_mub_per_atom": 0.000, "e_above_lowest_polymorph_mev_per_atom": 72, "density_g_cm3": 6.1, "volume_a3_per_atom": 23.00}

---

# 20
{"formula": "Li2AgHg", "functional": "PBE", "state": "relaxed", "lattice_angstrom": [[3.3343, 0.0000, 0.0000], [0.0000, 3.3477, 0.0000], [0.0000, 0.0000, 6.1562]], "species": ["Li", "Li", "Hg", "Ag"], "frac_coords": [[0.0000, 0.0000, 0.4913], [0.0000, 0.0000, 0.0087], [0.5000, 0.5000, 0.7500], [0.5000, 0.5000, 0.2500]], "ef_ev_per_atom": -0.28, "magnetic_moment_mub_per_atom": 0.000, "density_g_cm3": 7.8, "volume_a3_per_atom": 17.18}